[1]
VASP calculation (PBE-GGA) on a geometry-optimized Er2NbSn2 structure.

SG: I4/mmm
Total magnetization, μB/atom: 0.00
E_tot, eV/atom: -5.201

abc: 6.182 6.182 6.182
angles: 128.43 128.43 75.93
Element x y z (fractional)
Er (0.000, 0.500, 0.500)
Er (0.500, 0.000, 0.500)
Nb (0.000, 0.000, 0.000)
Sn (0.280, 0.280, 0.000)
Sn (0.720, 0.720, 0.000)

---

[2]
VASP calculation (PBE-GGA) on a geometry-optimized Cu7PSe6 structure.

SG: Pna2_1
Polymorph energy (0 for the lowest one), meV per atom: 0

abc: 14.393 7.147 10.112
angles: 90.00 90.00 90.00
Element x y z (fractional)
Cu (0.041, 0.075, 0.225)
Cu (0.056, 0.439, 0.567)
Cu (0.122, 0.684, 0.413)
Cu (0.151, 0.019, 0.500)
Cu (0.212, 0.722, 0.883)
Cu (0.232, 0.413, 0.185)
Cu (0.234, 0.540, 0.643)
Cu (0.266, 0.040, 0.143)
Cu (0.268, 0.913, 0.685)
Cu (0.288, 0.222, 0.383)
Cu (0.349, 0.519, 0.000)
Cu (0.378, 0.184, 0.913)
Cu (0.444, 0.939, 0.067)
Cu (0.459, 0.575, 0.725)
Cu (0.541, 0.425, 0.225)
Cu (0.556, 0.061, 0.567)
Cu (0.622, 0.816, 0.413)
Cu (0.651, 0.481, 0.500)
Cu (0.712, 0.778, 0.883)
Cu (0.732, 0.087, 0.185)
Cu (0.734, 0.960, 0.643)
Cu (0.766, 0.460, 0.143)
Cu (0.768, 0.587, 0.685)
Cu (0.788, 0.278, 0.383)
Cu (0.849, 0.981, 0.000)
Cu (0.878, 0.316, 0.913)
Cu (0.944, 0.561, 0.067)
Cu (0.959, 0.925, 0.725)
P (0.125, 0.248, 0.893)
P (0.375, 0.748, 0.393)
P (0.625, 0.252, 0.893)
P (0.875, 0.752, 0.393)
Se (0.003, 0.249, 0.756)
Se (0.110, 0.767, 0.648)
Se (0.119, 0.510, 0.016)
Se (0.122, 0.285, 0.371)
Se (0.126, 0.991, 0.018)
Se (0.249, 0.746, 0.263)
Se (0.251, 0.246, 0.763)
Se (0.374, 0.491, 0.518)
Se (0.378, 0.785, 0.871)
Se (0.381, 0.010, 0.516)
Se (0.390, 0.267, 0.148)
Se (0.497, 0.749, 0.256)
Se (0.503, 0.251, 0.756)
Se (0.610, 0.733, 0.648)
Se (0.619, 0.990, 0.016)
Se (0.622, 0.215, 0.371)
Se (0.626, 0.509, 0.018)
Se (0.749, 0.754, 0.263)
Se (0.751, 0.254, 0.763)
Se (0.874, 0.009, 0.518)
Se (0.878, 0.715, 0.871)
Se (0.881, 0.490, 0.516)
Se (0.890, 0.233, 0.148)
Se (0.997, 0.751, 0.256)

---

[3]
VASP calculation (PBE-GGA) on a geometry-optimized Cs2Rb2CdP2 structure.

SG: R-3m
Polymorph energy (0 for the lowest one), meV per atom: 12

abc: 9.873 9.873 9.873
angles: 36.17 36.17 36.17
Element x y z (fractional)
Cs (0.111, 0.111, 0.111)
Cs (0.889, 0.889, 0.889)
Rb (0.292, 0.292, 0.292)
Rb (0.708, 0.708, 0.708)
Cd (0.500, 0.500, 0.500)
P (0.412, 0.412, 0.412)
P (0.588, 0.588, 0.588)

---

[4]
VASP calculation (PBE-GGA) on a geometry-optimized NdTlHgSe3 structure.

SG: Cmcm
Total magnetization, μB/atom: 0.00
Polymorph energy (0 for the lowest one), meV per atom: 0

abc: 7.613 7.613 11.192
angles: 90.00 90.00 147.41
Element x y z (fractional)
Nd (0.000, 0.000, 0.000)
Nd (0.000, 0.000, 0.500)
Tl (0.249, 0.751, 0.750)
Tl (0.751, 0.249, 0.250)
Hg (0.458, 0.542, 0.250)
Hg (0.542, 0.458, 0.750)
Se (0.078, 0.922, 0.250)
Se (0.362, 0.638, 0.050)
Se (0.362, 0.638, 0.450)
Se (0.638, 0.362, 0.550)
Se (0.638, 0.362, 0.950)
Se (0.922, 0.078, 0.750)

---

[5]
VASP calculation (PBE-GGA) on a geometry-optimized PrTmCu2Si2 structure.

SG: P-3m1
Total magnetization, μB/atom: 0.00
E_tot, eV/atom: -5.231

abc: 4.170 4.170 7.711
angles: 90.00 90.00 120.00
Element x y z (fractional)
Pr (0.000, 0.000, 0.000)
Tm (0.000, 0.000, 0.500)
Cu (0.333, 0.667, 0.273)
Cu (0.667, 0.333, 0.727)
Si (0.333, 0.667, 0.735)
Si (0.667, 0.333, 0.265)

---

[6]
VASP calculation (PBE-GGA) on a geometry-optimized NaLuBe structure.

SG: F-43m
Total magnetization, μB/atom: 0.12
E_tot, eV/atom: -2.095

abc: 4.766 4.766 4.766
angles: 60.00 60.00 60.00
Element x y z (fractional)
Na (0.000, 0.000, 0.000)
Lu (0.750, 0.750, 0.750)
Be (0.500, 0.500, 0.500)

---

[7]
VASP calculation (PBE-GGA) on a geometry-optimized LiLu2Sb structure.

SG: F-43m
Total magnetization, μB/atom: 0.00
E_tot, eV/atom: -3.858

abc: 5.167 5.167 5.167
angles: 60.00 60.00 60.00
Element x y z (fractional)
Li (0.000, 0.000, 0.000)
Lu (0.250, 0.250, 0.250)
Lu (0.500, 0.500, 0.500)
Sb (0.750, 0.750, 0.750)

---

[8]
VASP calculation (PBE-GGA) on a geometry-optimized TlSi5Ir3 structure.

SG: P6/mmm
Total magnetization, μB/atom: 0.00
E_tot, eV/atom: -6.284

abc: 5.483 5.483 6.025
angles: 90.00 90.00 120.00
Element x y z (fractional)
Tl (0.000, 0.000, 0.000)
Si (0.000, 0.000, 0.500)
Si (0.333, 0.667, 0.192)
Si (0.333, 0.667, 0.808)
Si (0.667, 0.333, 0.192)
Si (0.667, 0.333, 0.808)
Ir (0.000, 0.500, 0.500)
Ir (0.500, 0.000, 0.500)
Ir (0.500, 0.500, 0.500)

---

[9]
VASP calculation (PBE-GGA) on a geometry-optimized ErSnSe2 structure.

SG: P4/mmm
Total magnetization, μB/atom: 0.00
E_tot, eV/atom: -4.868

abc: 4.158 4.158 5.910
angles: 90.00 90.00 90.00
Element x y z (fractional)
Er (0.000, 0.000, 0.000)
Sn (0.500, 0.500, 0.500)
Se (0.000, 0.000, 0.500)
Se (0.500, 0.500, 0.000)

---

[10]
VASP calculation (PBE-GGA) on a geometry-optimized Dy2Ho3Al3 structure.

SG: Pm
Total magnetization, μB/atom: 0.01
Polymorph energy (0 for the lowest one), meV per atom: 0

abc: 6.452 5.183 6.455
angles: 90.00 110.73 90.00
Element x y z (fractional)
Dy (0.000, 0.000, 0.000)
Dy (0.294, 0.500, 0.765)
Ho (0.002, 0.000, 0.503)
Ho (0.508, 0.000, 0.509)
Ho (0.745, 0.500, 0.212)
Al (0.248, 0.500, 0.264)
Al (0.502, 0.000, 0.011)
Al (0.793, 0.500, 0.709)

---

[11]
VASP calculation (PBE-GGA) on a geometry-optimized Li6DyAu3 structure.

SG: I4/mmm
Total magnetization, μB/atom: 0.01
E_tot, eV/atom: -1.907

abc: 6.927 6.927 6.927
angles: 123.12 123.12 84.67
Element x y z (fractional)
Li (0.137, 0.500, 0.637)
Li (0.224, 0.224, 0.000)
Li (0.500, 0.137, 0.637)
Li (0.500, 0.863, 0.363)
Li (0.776, 0.776, 0.000)
Li (0.863, 0.500, 0.363)
Dy (0.500, 0.500, 0.000)
Au (0.000, 0.000, 0.000)
Au (0.250, 0.750, 0.500)
Au (0.750, 0.250, 0.500)

---

[12]
VASP calculation (PBE-GGA) on a geometry-optimized AcIn4Cu structure.

SG: Cmcm
Total magnetization, μB/atom: 0.00
E_tot, eV/atom: -3.425

abc: 9.167 9.167 7.484
angles: 90.00 90.00 150.91
Element x y z (fractional)
Ac (0.115, 0.885, 0.750)
Ac (0.885, 0.115, 0.250)
In (0.078, 0.922, 0.250)
In (0.313, 0.687, 0.551)
In (0.313, 0.687, 0.949)
In (0.500, 0.500, 0.000)
In (0.500, 0.500, 0.500)
In (0.687, 0.313, 0.051)
In (0.687, 0.313, 0.449)
In (0.922, 0.078, 0.750)
Cu (0.229, 0.771, 0.250)
Cu (0.771, 0.229, 0.750)